1.
# KFeAs2Se

A geometry-optimized KFeAs2Se structure (PBE, the Alexandria database).

The calculation puts the total energy at -22.4 eV/cell. The density is 4.64 g/cm³.

Lattice parameters (Å, degrees): 4.560 4.560 5.566 90.00 90.00 90.00
Space group P4/mmm (No. 123)
Symmetry-distinct sites (fractional):
K1 0.000 0.000 0.000 (multiplicity 1)
Fe1 0.500 0.500 0.500 (multiplicity 1)
As1 0.000 0.500 0.500 (multiplicity 2)
Se1 0.500 0.500 0.000 (multiplicity 1)

2.
# KFeAs2Se

A geometry-optimized KFeAs2Se structure (PBE, the Alexandria database).

The calculation puts the total energy at -13.3 eV/cell. The density is 3.38 g/cm³.

Lattice parameters (Å, degrees): 5.392 5.392 5.469 90.00 90.00 90.00
Space group P4/mmm (No. 123)
Symmetry-distinct sites (fractional):
K1 0.000 0.000 0.000 (multiplicity 1)
Fe1 0.500 0.500 0.500 (multiplicity 1)
As1 0.000 0.500 0.000 (multiplicity 2)
Se1 0.000 0.000 0.500 (multiplicity 1)

3.
# KFeSiAs2

A geometry-optimized KFeSiAs2 structure (PBE, the Alexandria database).

The calculation puts the total energy at -19.1 eV/cell. The density is 3.28 g/cm³.

Lattice parameters (Å, degrees): 4.839 4.839 5.895 90.00 90.00 90.00
Space group P4/mmm (No. 123)
Symmetry-distinct sites (fractional):
K1 0.000 0.000 0.000 (multiplicity 1)
Fe1 0.500 0.500 0.000 (multiplicity 1)
Si1 0.000 0.000 0.500 (multiplicity 1)
As1 0.000 0.500 0.500 (multiplicity 2)

4.
# KFe2TeAs

A geometry-optimized KFe2TeAs structure (PBE, the Alexandria database).

The calculation puts the total energy at -15.9 eV/cell. The density is 4.68 g/cm³.

Lattice parameters (Å, degrees): 4.750 4.750 5.554 90.00 90.00 90.00
Space group P4/mmm (No. 123)
Symmetry-distinct sites (fractional):
K1 0.000 0.000 0.000 (multiplicity 1)
Fe1 0.000 0.500 0.000 (multiplicity 2)
Te1 0.500 0.500 0.500 (multiplicity 1)
As1 0.000 0.000 0.500 (multiplicity 1)

5.
# La2FeAs2

A geometry-optimized La2FeAs2 structure (PBE, the Alexandria database).

The calculation puts the total energy at -62.7 eV/cell. The density is 6.58 g/cm³. Its formation energy is -3.7 eV per formula unit.

Lattice parameters (Å, degrees): 7.582 7.582 4.245 90.00 90.00 90.00
Space group P4/mbm (No. 127)
Symmetry-distinct sites (fractional):
La1 0.157 0.343 0.000 (multiplicity 4)
Fe1 0.000 0.000 0.500 (multiplicity 2)
As1 0.159 0.659 0.500 (multiplicity 4)

6.
# LaFe3As

A geometry-optimized LaFe3As structure (PBE, the Alexandria database).

The calculation puts the total energy at -26.6 eV/cell. The density is 6.30 g/cm³. Its formation energy is 8.3 eV per formula unit.

Lattice parameters (Å, degrees): 4.650 4.650 4.650 90.00 90.00 90.00
Space group Pm-3m (No. 221)
Symmetry-distinct sites (fractional):
La1 0.000 0.000 0.000 (multiplicity 1)
Fe1 0.000 0.000 0.500 (multiplicity 3)
As1 0.500 0.500 0.500 (multiplicity 1)